VASP calculation (PBE-GGA) on crystalline ZrU3Pa2P6 at its relaxed geometry.

Computed properties:
ΔH_f (0 K): -26.83 kcal/mol of atoms
space-group type: C2/m, No. 12
volume: 21.2 Å³ per atom

Cell: 6.747 6.747 6.839 Å, 99.49 99.49 120.01°
Atoms (fractional coordinates):
Zr 0.000 0.000 0.000
U 0.169 0.831 0.500
U 0.500 0.500 0.500
U 0.831 0.169 0.500
Pa 0.334 0.666 0.000
Pa 0.666 0.334 0.000
P 0.082 0.408 0.247
P 0.242 0.242 0.750
P 0.408 0.082 0.247
P 0.592 0.918 0.753
P 0.758 0.758 0.250
P 0.918 0.592 0.753


VASP calculation (PBE-GGA) on crystalline NiPt4Rh3 at its relaxed geometry.

Computed properties:
ΔH_f (0 K): -0.75 kcal/mol of atoms
space-group type: I4/mmm, No. 139
volume: 14.6 Å³ per atom

Cell: 8.247 8.247 8.247 Å, 152.77 152.77 38.89°
Atoms (fractional coordinates):
Ni 0.000 0.000 0.000
Pt 0.123 0.623 0.500
Pt 0.377 0.877 0.500
Pt 0.623 0.123 0.500
Pt 0.877 0.377 0.500
Rh 0.251 0.251 0.000
Rh 0.500 0.500 0.000
Rh 0.749 0.749 0.000


VASP calculation (PBE-GGA) on crystalline Y2PuAg3S6 at its relaxed geometry.

Computed properties:
space-group type: C2/m, No. 12
volume: 21.7 Å³ per atom
energy relative to the elements, uncorrected: -1188 meV per atom

Cell: 8.806 8.806 7.589 Å, 98.51 98.51 26.54°
Atoms (fractional coordinates):
Y 0.167 0.167 0.339
Y 0.833 0.833 0.661
Pu 0.500 0.500 0.000
Ag 0.159 0.159 0.848
Ag 0.500 0.500 0.500
Ag 0.841 0.841 0.152
S 0.004 0.004 0.250
S 0.329 0.329 0.413
S 0.335 0.335 0.909
S 0.665 0.665 0.091
S 0.671 0.671 0.587
S 0.996 0.996 0.750


VASP calculation (PBE-GGA) on crystalline EuDyAl2 at its relaxed geometry.

Computed properties:
ΔH_f (0 K): -7.24 kcal/mol of atoms
space-group type: P4/mmm, No. 123
volume: 25.1 Å³ per atom

Cell: 3.693 3.693 7.371 Å, 90.00 90.00 90.00°
Atoms (fractional coordinates):
Eu 0.000 0.000 0.000
Dy 0.000 0.000 0.500
Al 0.500 0.500 0.272
Al 0.500 0.500 0.728


Q: Which value of volume does entry 3 give?
A: 21.7 Å³ per atom